Below is a relaxed TlInSbSe4 crystal, with properties calculated at the PBE-GGA level. Values from VASP.

```
&SYSTEM
  ibrav = 0, nat = 14, ntyp = 4
/
ATOMIC_SPECIES
Tl 204.38 Tl.upf
In 114.82 In.upf
Sb 121.76 Sb.upf
Se 78.96 Se.upf
ATOMIC_POSITIONS angstrom
Tl 1.733 1.496 0.495
Tl 3.533 4.489 9.042
In 0.950 4.489 3.150
In 4.317 1.496 6.386
Sb 0.739 1.496 5.921
Sb 4.528 4.489 3.615
Se -1.282 3.112 7.211
Se -1.282 5.866 7.211
Se 1.814 4.489 5.547
Se 3.012 4.489 1.482
Se 2.254 1.496 8.055
Se 3.452 1.496 3.990
Se 6.548 0.119 2.326
Se 6.548 2.873 2.326
CELL_PARAMETERS angstrom
7.531 0.000 0.000
0.000 5.986 0.000
-2.265 0.000 9.537
```

Computed properties:
The calculation puts the total DFT energy (no corrections) at -3.59 eV/atom.



Below is a relaxed Tl2InSbSe4 crystal, with properties calculated at the PBE-GGA level. Values from VASP.

```
&SYSTEM
  ibrav = 0, nat = 16, ntyp = 4
/
ATOMIC_SPECIES
Tl 204.38 Tl.upf
In 114.82 In.upf
Sb 121.76 Sb.upf
Se 78.96 Se.upf
ATOMIC_POSITIONS angstrom
Tl 0.000 4.095 0.000
Tl 0.000 4.095 3.582
Tl 4.095 0.000 0.000
Tl 4.095 0.000 3.582
In 0.000 0.000 0.000
In 4.095 4.095 3.582
Sb 0.000 0.000 3.582
Sb 4.095 4.095 0.000
Se 1.456 1.456 5.489
Se 1.456 6.734 1.675
Se 2.639 2.639 1.907
Se 2.639 5.552 5.257
Se 5.552 2.639 5.257
Se 5.552 5.552 1.907
Se 6.734 1.456 1.675
Se 6.734 6.734 5.489
CELL_PARAMETERS angstrom
8.191 0.000 0.000
0.000 8.191 0.000
0.000 0.000 7.164
```

Computed properties:
The calculation puts the total DFT energy (no corrections) at -3.55 eV/atom.



Below is a relaxed Tl2InSbSe5 crystal, with properties calculated at the PBE-GGA level. Values from VASP.

```
&SYSTEM
  ibrav = 0, nat = 18, ntyp = 4
/
ATOMIC_SPECIES
Tl 204.38 Tl.upf
In 114.82 In.upf
Sb 121.76 Sb.upf
Se 78.96 Se.upf
ATOMIC_POSITIONS angstrom
Tl 2.010 7.560 6.696
Tl 2.010 7.180 1.943
Tl 2.010 -7.180 8.638
Tl 2.010 -7.560 0.000
In 2.010 1.032 3.584
In 2.010 -1.032 10.279
Sb 2.010 5.556 11.533
Sb 2.010 -5.556 4.837
Se 2.010 8.665 11.934
Se 2.010 4.171 6.819
Se 2.010 3.622 2.869
Se 2.010 2.931 10.966
Se 2.010 0.296 8.096
Se 2.010 -0.296 1.401
Se 2.010 -2.931 4.271
Se 2.010 -3.622 9.565
Se 2.010 -4.171 0.123
Se 2.010 -8.665 5.238
CELL_PARAMETERS angstrom
2.010 -9.642 0.000
2.010 9.642 0.000
0.000 0.000 13.391
```

Computed properties:
The calculation puts the total DFT energy (no corrections) at -3.52 eV/atom.



Below is a relaxed Tl3InSb2Se6 crystal, with properties calculated at the PBE-GGA level. Values from VASP.

```
&SYSTEM
  ibrav = 0, nat = 12, ntyp = 4
/
ATOMIC_SPECIES
Tl 204.38 Tl.upf
In 114.82 In.upf
Sb 121.76 Sb.upf
Se 78.96 Se.upf
ATOMIC_POSITIONS angstrom
Tl 0.000 0.000 0.000
Tl 3.620 2.115 0.000
Tl 3.620 -2.115 0.000
In 2.412 0.000 3.825
Sb 2.412 4.177 3.825
Sb 2.412 -4.177 3.825
Se 1.243 2.025 2.247
Se 0.071 0.000 5.426
Se 1.243 -2.025 2.247
Se 3.581 2.025 5.402
Se 4.753 0.000 2.223
Se 3.581 -2.025 5.402
CELL_PARAMETERS angstrom
3.620 -6.265 0.000
3.620 6.265 0.000
-2.417 0.000 7.649
```

Computed properties:
The calculation puts the total DFT energy (no corrections) at -3.65 eV/atom.



Below is a relaxed InSi2Sb2 crystal, with properties calculated at the PBE-GGA level. Values from VASP.

```
&SYSTEM
  ibrav = 0, nat = 10, ntyp = 3
/
ATOMIC_SPECIES
In 114.82 In.upf
Si 28.09 Si.upf
Sb 121.76 Sb.upf
ATOMIC_POSITIONS angstrom
In 0.000 0.000 0.000
In 2.629 2.629 4.345
Si 0.000 0.000 3.132
Si 0.000 0.000 5.558
Si 2.629 2.629 1.213
Si 2.629 2.629 7.477
Sb 0.000 2.629 2.172
Sb 0.000 2.629 6.517
Sb 2.629 0.000 2.172
Sb 2.629 0.000 6.517
CELL_PARAMETERS angstrom
5.258 0.000 0.000
0.000 5.258 0.000
0.000 0.000 8.690
```

Computed properties:
The calculation puts the energy above the most stable polymorph in this dataset at 0 meV per atom. The calculation puts the total DFT energy (no corrections) at -4.10 eV/atom.



Below is a relaxed In3SiSb crystal, with properties calculated at the PBE-GGA level. Values from VASP.

```
&SYSTEM
  ibrav = 0, nat = 5, ntyp = 3
/
ATOMIC_SPECIES
In 114.82 In.upf
Si 28.09 Si.upf
Sb 121.76 Sb.upf
ATOMIC_POSITIONS angstrom
In 0.000 0.000 2.825
In 0.000 2.825 0.000
In 2.825 0.000 0.000
Si 2.825 2.825 2.825
Sb 0.000 0.000 0.000
CELL_PARAMETERS angstrom
5.650 0.000 0.000
0.000 5.650 0.000
0.000 0.000 5.650
```

Computed properties:
The calculation puts the energy above the most stable polymorph in this dataset at 573 meV per atom. The calculation puts the total DFT energy (no corrections) at -2.67 eV/atom.



Below is a relaxed InSiSb2 crystal, with properties calculated at the PBE-GGA level. Values from VASP.

```
&SYSTEM
  ibrav = 0, nat = 16, ntyp = 3
/
ATOMIC_SPECIES
In 114.82 In.upf
Si 28.09 Si.upf
Sb 121.76 Sb.upf
ATOMIC_POSITIONS angstrom
In 0.000 0.000 0.000
In 0.000 3.660 3.660
In 3.660 0.000 3.660
In 3.660 3.660 0.000
Si 1.830 1.830 1.830
Si 1.830 5.490 5.490
Si 5.490 1.830 5.490
Si 5.490 5.490 1.830
Sb 0.000 0.000 3.660
Sb 0.000 3.660 0.000
Sb 1.830 1.830 5.490
Sb 1.830 5.490 1.830
Sb 3.660 0.000 0.000
Sb 3.660 3.660 3.660
Sb 5.490 1.830 1.830
Sb 5.490 5.490 5.490
CELL_PARAMETERS angstrom
7.320 0.000 0.000
0.000 7.320 0.000
0.000 0.000 7.320
```

Computed properties:
The calculation puts the energy above the most stable polymorph in this dataset at 213 meV per atom. The calculation puts the total DFT energy (no corrections) at -3.73 eV/atom.



Below is a relaxed InSiSb2 crystal, with properties calculated at the PBE-GGA level. Values from VASP.

```
&SYSTEM
  ibrav = 0, nat = 8, ntyp = 3
/
ATOMIC_SPECIES
In 114.82 In.upf
Si 28.09 Si.upf
Sb 121.76 Sb.upf
ATOMIC_POSITIONS angstrom
In 0.000 0.000 0.000
In 3.154 5.208 0.000
Si 0.000 5.208 0.000
Si 3.154 0.000 0.000
Sb 1.114 2.604 1.502
Sb 1.114 7.812 1.502
Sb 4.268 2.604 1.502
Sb 4.268 7.812 1.502
CELL_PARAMETERS angstrom
6.308 0.000 0.000
0.000 10.416 0.000
-0.927 0.000 3.004
```

Computed properties:
The calculation puts the energy above the most stable polymorph in this dataset at 235 meV per atom. The calculation puts the total DFT energy (no corrections) at -3.71 eV/atom.



Below is a relaxed InSiSb2 crystal, with properties calculated at the PBE-GGA level. Values from VASP.

```
&SYSTEM
  ibrav = 0, nat = 4, ntyp = 3
/
ATOMIC_SPECIES
In 114.82 In.upf
Si 28.09 Si.upf
Sb 121.76 Sb.upf
ATOMIC_POSITIONS angstrom
In 0.000 0.000 0.000
Si 1.995 2.015 3.316
Sb 0.000 0.000 2.893
Sb 1.995 2.015 5.933
CELL_PARAMETERS angstrom
3.989 0.000 0.000
0.000 4.030 0.000
0.000 0.000 6.859
```

Computed properties:
The calculation puts the energy above the most stable polymorph in this dataset at 22 meV per atom. The calculation puts the total DFT energy (no corrections) at -3.92 eV/atom.



Below is a relaxed In12Si3Sb5 crystal, with properties calculated at the PBE-GGA level. Values from VASP.

```
&SYSTEM
  ibrav = 0, nat = 80, ntyp = 3
/
ATOMIC_SPECIES
In 114.82 In.upf
Si 28.09 Si.upf
Sb 121.76 Sb.upf
ATOMIC_POSITIONS angstrom
In 8.276 -1.452 2.620
In 13.077 -1.651 2.819
In 2.620 -0.265 1.452
In 10.192 5.722 -4.536
In 11.161 0.265 1.452
In 10.192 -2.819 4.536
In 1.452 2.620 -0.265
In 11.360 4.005 -1.651
In 5.722 4.536 -1.651
In 7.090 2.620 0.265
In -0.265 1.452 2.620
In 4.536 -1.651 5.722
In 8.276 7.090 -2.620
In 4.536 1.651 2.819
In 7.090 -2.620 8.276
In 5.722 -4.536 10.192
In 2.819 4.536 1.651
In 9.993 5.921 0.265
In 2.620 8.276 -1.452
In 10.192 2.819 4.005
In 1.651 2.819 4.536
In 2.620 0.265 7.090
In 4.536 10.192 -2.819
In 8.276 1.452 5.921
In 0.265 7.090 2.620
In 4.005 -1.651 11.360
In 5.921 8.276 1.452
In 6.891 5.722 4.005
In -1.651 5.722 4.536
In 5.921 0.265 9.993
In -1.452 2.620 8.276
In 5.722 4.005 6.891
In 2.819 13.077 -1.651
In 1.452 11.161 0.265
In 4.005 6.891 5.722
In 0.265 1.452 11.161
In 4.005 10.192 2.819
In 8.807 7.090 5.921
In 1.452 5.921 8.276
In 2.819 4.005 10.192
In -2.819 4.536 10.192
In 7.090 5.921 8.807
In -1.651 11.360 4.005
In -2.620 8.276 7.090
In -1.651 2.819 13.077
In 5.921 8.807 7.090
In -4.536 10.192 5.722
In 0.265 9.993 5.921
Si 4.271 2.135 0.000
Si 8.541 4.271 -2.135
Si 2.135 0.000 4.271
Si 10.676 0.000 4.271
Si 0.000 4.271 2.135
Si 4.271 -2.135 8.541
Si 4.271 10.676 0.000
Si 8.541 4.271 6.406
Si -2.135 8.541 4.271
Si 6.406 8.541 4.271
Si 0.000 4.271 10.676
Si 4.271 6.406 8.541
Sb 0.000 0.000 0.000
Sb 4.271 4.271 -4.271
Sb 4.271 -4.271 4.271
Sb 8.541 0.000 0.000
Sb 12.812 2.135 0.000
Sb 8.541 -4.271 6.406
Sb 6.406 8.541 -4.271
Sb 6.406 0.000 4.271
Sb 4.271 6.406 0.000
Sb 8.541 4.271 2.135
Sb -4.271 4.271 4.271
Sb 0.000 8.541 0.000
Sb 0.000 0.000 8.541
Sb 4.271 4.271 4.271
Sb 0.000 4.271 6.406
Sb 4.271 2.135 8.541
Sb 2.135 8.541 4.271
Sb 2.135 0.000 12.812
Sb 0.000 12.812 2.135
Sb -4.271 6.406 8.541
CELL_PARAMETERS angstrom
-8.541 8.541 8.541
8.541 -8.541 8.541
8.541 8.541 -8.541
```

Computed properties:
The calculation puts the total DFT energy (no corrections) at -3.28 eV/atom.



Below is a relaxed InSiSb2 crystal, with properties calculated at the PBE-GGA level. Values from VASP.

```
&SYSTEM
  ibrav = 0, nat = 16, ntyp = 3
/
ATOMIC_SPECIES
In 114.82 In.upf
Si 28.09 Si.upf
Sb 121.76 Sb.upf
ATOMIC_POSITIONS angstrom
In 0.000 0.000 0.000
In 0.000 3.656 3.656
In 3.656 0.000 3.656
In 3.656 3.656 0.000
Si 0.000 0.000 3.656
Si 0.000 3.656 0.000
Si 3.656 0.000 0.000
Si 3.656 3.656 3.656
Sb 1.828 1.828 1.828
Sb 1.828 1.828 5.484
Sb 1.828 5.484 1.828
Sb 1.828 5.484 5.484
Sb 5.484 1.828 1.828
Sb 5.484 1.828 5.484
Sb 5.484 5.484 1.828
Sb 5.484 5.484 5.484
CELL_PARAMETERS angstrom
7.312 0.000 0.000
0.000 7.312 0.000
0.000 0.000 7.312
```

Computed properties:
The calculation puts the energy above the most stable polymorph in this dataset at 222 meV per atom. The calculation puts the total DFT energy (no corrections) at -3.72 eV/atom.



Below is a relaxed InSiSb2 crystal, with properties calculated at the PBE-GGA level. Values from VASP.

```
&SYSTEM
  ibrav = 0, nat = 8, ntyp = 3
/
ATOMIC_SPECIES
In 114.82 In.upf
Si 28.09 Si.upf
Sb 121.76 Sb.upf
ATOMIC_POSITIONS angstrom
In 0.000 0.000 0.000
In 2.033 2.613 0.000
Si 0.000 2.613 2.153
Si 2.033 0.000 2.153
Sb 0.000 0.000 3.996
Sb 0.000 2.613 7.050
Sb 2.033 0.000 7.050
Sb 2.033 2.613 3.996
CELL_PARAMETERS angstrom
4.065 0.000 0.000
0.000 5.225 0.000
0.000 0.000 9.494
```

Computed properties:
The calculation puts the energy above the most stable polymorph in this dataset at 176 meV per atom. The calculation puts the total DFT energy (no corrections) at -3.77 eV/atom.



Below is a relaxed InSi2Sb2 crystal, with properties calculated at the PBE-GGA level. Values from VASP.

```
&SYSTEM
  ibrav = 0, nat = 10, ntyp = 3
/
ATOMIC_SPECIES
In 114.82 In.upf
Si 28.09 Si.upf
Sb 121.76 Sb.upf
ATOMIC_POSITIONS angstrom
In 0.000 0.000 0.000
In 3.948 3.948 0.000
Si 0.921 3.027 0.000
Si 3.027 6.974 0.000
Si 4.868 0.921 0.000
Si 6.974 4.868 0.000
Sb 1.326 5.273 1.855
Sb 2.622 1.326 1.855
Sb 5.273 6.569 1.855
Sb 6.569 2.622 1.855
CELL_PARAMETERS angstrom
7.895 0.000 0.000
0.000 7.895 0.000
0.000 0.000 3.710
```

Computed properties:
The calculation puts the energy above the most stable polymorph in this dataset at 105 meV per atom. The calculation puts the total DFT energy (no corrections) at -4.00 eV/atom.



Below is a relaxed InSiSb2 crystal, with properties calculated at the PBE-GGA level. Values from VASP.

```
&SYSTEM
  ibrav = 0, nat = 8, ntyp = 3
/
ATOMIC_SPECIES
In 114.82 In.upf
Si 28.09 Si.upf
Sb 121.76 Sb.upf
ATOMIC_POSITIONS angstrom
In 0.000 0.000 0.000
In 3.452 2.056 0.000
Si -1.225 2.056 3.621
Si 2.227 0.000 3.621
Sb -0.100 0.000 5.185
Sb 1.103 2.056 2.057
Sb 3.352 2.056 5.185
Sb 4.555 0.000 2.057
CELL_PARAMETERS angstrom
6.904 0.000 0.000
0.000 4.112 0.000
-2.449 0.000 7.242
```

Computed properties:
The calculation puts the energy above the most stable polymorph in this dataset at 0 meV per atom. The calculation puts the total DFT energy (no corrections) at -3.95 eV/atom.



Below is a relaxed InSi3Sb crystal, with properties calculated at the PBE-GGA level. Values from VASP.

```
&SYSTEM
  ibrav = 0, nat = 5, ntyp = 3
/
ATOMIC_SPECIES
In 114.82 In.upf
Si 28.09 Si.upf
Sb 121.76 Sb.upf
ATOMIC_POSITIONS angstrom
In 0.000 0.000 0.000
Si 0.000 2.606 2.606
Si 2.606 0.000 2.606
Si 2.606 2.606 0.000
Sb 2.606 2.606 2.606
CELL_PARAMETERS angstrom
5.212 0.000 0.000
0.000 5.212 0.000
0.000 0.000 5.212
```

Computed properties:
The calculation puts the total DFT energy (no corrections) at -3.44 eV/atom.



Below is a relaxed In4SiSb crystal, with properties calculated at the PBE-GGA level. Values from VASP.

```
&SYSTEM
  ibrav = 0, nat = 6, ntyp = 3
/
ATOMIC_SPECIES
In 114.82 In.upf
Si 28.09 Si.upf
Sb 121.76 Sb.upf
ATOMIC_POSITIONS angstrom
In 1.081 1.081 1.081
In 3.235 3.235 1.081
In 3.235 1.081 3.235
In 1.081 3.235 3.235
Si 4.316 4.316 4.316
Sb 6.475 6.475 6.475
CELL_PARAMETERS angstrom
0.000 4.316 4.316
4.316 0.000 4.316
4.316 4.316 0.000
```

Computed properties:
The calculation puts the total DFT energy (no corrections) at -2.96 eV/atom.



Below is a relaxed InSiSb2 crystal, with properties calculated at the PBE-GGA level. Values from VASP.

```
&SYSTEM
  ibrav = 0, nat = 4, ntyp = 3
/
ATOMIC_SPECIES
In 114.82 In.upf
Si 28.09 Si.upf
Sb 121.76 Sb.upf
ATOMIC_POSITIONS angstrom
In 0.000 0.000 0.000
Si 2.825 2.825 1.594
Sb 0.000 2.825 2.179
Sb 2.825 0.000 1.008
CELL_PARAMETERS angstrom
5.649 0.000 0.000
0.000 5.649 0.000
0.000 0.000 3.187
```

Computed properties:
The calculation puts the energy above the most stable polymorph in this dataset at 78 meV per atom. The calculation puts the total DFT energy (no corrections) at -3.87 eV/atom.



Below is a relaxed InSiSb2 crystal, with properties calculated at the PBE-GGA level. Values from VASP.

```
&SYSTEM
  ibrav = 0, nat = 4, ntyp = 3
/
ATOMIC_SPECIES
In 114.82 In.upf
Si 28.09 Si.upf
Sb 121.76 Sb.upf
ATOMIC_POSITIONS angstrom
In 0.000 0.000 0.000
Si 1.544 0.000 3.299
Sb 1.544 2.534 1.794
Sb 1.544 2.534 4.804
CELL_PARAMETERS angstrom
3.088 0.000 0.000
0.000 5.067 0.000
0.000 0.000 6.598
```

Computed properties:
The calculation puts the energy above the most stable polymorph in this dataset at 163 meV per atom. The calculation puts the total DFT energy (no corrections) at -3.78 eV/atom.



Below is a relaxed In3SiSb crystal, with properties calculated at the PBE-GGA level. Values from VASP.

```
&SYSTEM
  ibrav = 0, nat = 5, ntyp = 3
/
ATOMIC_SPECIES
In 114.82 In.upf
Si 28.09 Si.upf
Sb 121.76 Sb.upf
ATOMIC_POSITIONS angstrom
In 0.000 0.000 2.608
In 0.000 2.608 0.000
In 2.608 0.000 0.000
Si 0.000 0.000 0.000
Sb 2.608 2.608 2.608
CELL_PARAMETERS angstrom
5.215 0.000 0.000
0.000 5.215 0.000
0.000 0.000 5.215
```

Computed properties:
The calculation puts the energy above the most stable polymorph in this dataset at 0 meV per atom. The calculation puts the total DFT energy (no corrections) at -3.24 eV/atom.



Below is a relaxed In2SiSb2 crystal, with properties calculated at the PBE-GGA level. Values from VASP.

```
&SYSTEM
  ibrav = 0, nat = 10, ntyp = 3
/
ATOMIC_SPECIES
In 114.82 In.upf
Si 28.09 Si.upf
Sb 121.76 Sb.upf
ATOMIC_POSITIONS angstrom
In 1.120 2.870 0.000
In 2.870 6.859 0.000
In 5.109 1.120 0.000
In 6.859 5.109 0.000
Si 0.000 0.000 2.117
Si 3.989 3.989 2.117
Sb 1.372 5.362 2.117
Sb 2.617 1.372 2.117
Sb 5.362 6.606 2.117
Sb 6.606 2.617 2.117
CELL_PARAMETERS angstrom
7.979 0.000 0.000
0.000 7.979 0.000
0.000 0.000 4.233
```

Computed properties:
The calculation puts the total DFT energy (no corrections) at -3.50 eV/atom.